The following is a DFT calculation (PBE) of a relaxed structure of Rb2MoS3.

Computed properties:
relative energy among the computed polymorphs = 0.069 eV per atom
ρ = 3.4 g/cm3

a b c (Å): 11.803 8.868 6.704
angles (deg): 90.00 90.00 90.00
Space group Cmcm (No. 63)
One atom of each set of equivalent atoms:
Rb (0.163, 0.166, 0.250)
Mo (0.000, 0.402, 0.750)
S (0.000, 0.149, 0.750)
S (0.125, 0.500, 0.000)

***

The following is a DFT calculation (PBE) of a relaxed structure of AuSO3F.

Computed properties:
raw total energy = -4.905 eV/atom
ρ = 6.3 g/cm3

a b c (Å): 8.679 7.666 4.683
angles (deg): 90.00 94.12 90.00
Space group C2/m (No. 12)
One atom of each set of equivalent atoms:
Au (0.000, 0.185, 0.000)
S (0.242, 0.000, 0.631)
O (0.103, 0.500, 0.240)
O (0.153, 0.162, 0.664)
F (0.238, 0.500, 0.702)

***

The following is a DFT calculation (PBE) of a relaxed structure of KTmCoTe3.

Computed properties:
relative energy among the computed polymorphs = 0.000 eV per atom
ρ = 5.7 g/cm3

a b c (Å): 4.206 16.153 11.227
angles (deg): 90.00 90.00 90.00
Space group Cmcm (No. 63)
One atom of each set of equivalent atoms:
K (0.000, 0.250, 0.250)
Tm (0.000, 0.000, 0.000)
Co (0.000, 0.472, 0.750)
Te (0.000, 0.070, 0.750)
Te (0.000, 0.374, 0.568)

***

- Which of these has the highest ρ?
  AuSO3F